# 1
Computed, not measured: a relaxed structure of TiAgAu2 at the PBE level of DFT.

As for the energy relative to the lowest polymorph listed for this composition: 112.9 meV per atom.

The space group is P4/mmm (No. 123) and the conventional cell measures 4.9692, 4.9692 and 2.8780 Å, with angles of 90.00, 90.00 and 90.00 degrees. The distinct sites, in fractional coordinates, are Ti at (0.0000, 0.0000, 0.0000), Ag at (0.5000, 0.5000, 0.0000) and Au at (0.0000, 0.5000, 0.5000).

# 2
Computed, not measured: a relaxed structure of AgHgO2F at the PBE level of DFT.

The calculation puts the raw formation energy at -0.05 eV/atom.

The space group is P4/mmm (No. 123) and the conventional cell measures 4.1381, 4.1381 and 4.1727 Å, with angles of 90.00, 90.00 and 90.00 degrees. The distinct sites, in fractional coordinates, are Ag at (0.0000, 0.0000, 0.0000), Hg at (0.5000, 0.5000, 0.5000), O at (0.0000, 0.5000, 0.0000) and F at (0.0000, 0.0000, 0.5000).

# 3
Computed, not measured: a relaxed structure of BaCuO3 at the PBE level of DFT.

The calculation puts the raw formation energy at -1.28 eV/atom.

The space group is P-1 (No. 2) and the conventional cell measures 5.0685, 5.7309 and 5.7310 Å, with angles of 119.58, 91.99 and 91.87 degrees. The distinct sites, in fractional coordinates, are Ba at (0.2499, 0.1646, 0.3353), Cu at (0.0000, 0.5000, 0.0000), Cu at (0.5000, 0.5000, 0.0000), O at (0.1953, 0.1896, 0.8495), O at (0.2500, 0.6436, 0.8562) and O at (0.3052, 0.6505, 0.3105).

# 4
Computed, not measured: a relaxed structure of Sr2InSbAu at the PBE level of DFT.

The calculation puts the raw formation energy at -0.09 eV/atom.

The space group is P4/mmm (No. 123) and the conventional cell measures 6.2264, 6.2264 and 5.5803 Å, with angles of 90.00, 90.00 and 90.00 degrees. The distinct sites, in fractional coordinates, are Sr at (0.0000, 0.5000, 0.0000), In at (0.0000, 0.0000, 0.5000), Sb at (0.0000, 0.0000, 0.0000) and Au at (0.5000, 0.5000, 0.5000).